(1)
## Sm2Ho8Al (GGA-PBE)

Data for Sm2Ho8Al after structural relaxation.

The structure in CIF format:
```
data_Sm2Ho8Al
_cell_length_a 19.1595
_cell_length_b 5.4545
_cell_length_c 6.4251
_cell_angle_alpha 90.00
_cell_angle_beta 94.09
_cell_angle_gamma 90.00
_space_group_name_H-M_alt 'C 1 2/m 1'
_space_group_IT_number 12
_space_group_name_Hall '-C 2y'
loop_
_atom_site_label
_atom_site_type_symbol
_atom_site_fract_x
_atom_site_fract_y
_atom_site_fract_z
_atom_site_occupancy
Sm1 Sm 0.2422 0.0000 0.3326 1
Ho1 Ho 0.0422 0.0000 0.2542 1
Ho2 Ho 0.0773 0.5000 0.6039 1
Ho3 Ho 0.1534 0.0000 0.8140 1
Ho4 Ho 0.1568 0.5000 0.1227 1
Al1 Al 0.0000 0.5000 0.0000 1
```

- ΔE to the lowest computed polymorph (meV/atom) = 0

=====

(2)
## Li3ThCd3 (GGA-PBE)

Data for Li3ThCd3 after structural relaxation.

The structure in CIF format:
```
data_Li3ThCd3
_cell_length_a 6.8722
_cell_length_b 6.8722
_cell_length_c 6.8722
_cell_angle_alpha 90.00
_cell_angle_beta 90.00
_cell_angle_gamma 90.00
_space_group_name_H-M_alt 'P m -3 n'
_space_group_IT_number 223
_space_group_name_Hall '-P 4n 2 3'
loop_
_atom_site_label
_atom_site_type_symbol
_atom_site_fract_x
_atom_site_fract_y
_atom_site_fract_z
_atom_site_occupancy
Li1 Li 0.0000 0.2500 0.5000 1
Th1 Th 0.0000 0.0000 0.0000 1
Cd1 Cd 0.0000 0.5000 0.2500 1
```

- VASP energy (eV per atom) = -1.99

=====

(3)
## RbCd2Ru (GGA-PBE)

Data for RbCd2Ru after structural relaxation.

The structure in CIF format:
```
data_RbCd2Ru
_cell_length_a 5.8066
_cell_length_b 5.8066
_cell_length_c 17.8816
_cell_angle_alpha 90.00
_cell_angle_beta 90.00
_cell_angle_gamma 90.00
_space_group_name_H-M_alt 'I -4 2 d'
_space_group_IT_number 122
_space_group_name_Hall 'I -4 2bw'
loop_
_atom_site_label
_atom_site_type_symbol
_atom_site_fract_x
_atom_site_fract_y
_atom_site_fract_z
_atom_site_occupancy
Rb1 Rb 0.0000 0.0000 0.0000 1
Cd1 Cd 0.0040 0.2500 0.6250 1
Ru1 Ru 0.0000 0.0000 0.5000 1
```

- ΔE to the lowest computed polymorph (meV/atom) = 0

=====

(4)
## Tb3PuPa2N6 (GGA-PBE)

Data for Tb3PuPa2N6 after structural relaxation.

The structure in CIF format:
```
data_Tb3PuPa2N6
_cell_length_a 6.0646
_cell_length_b 10.5002
_cell_length_c 6.0650
_cell_angle_alpha 90.00
_cell_angle_beta 109.51
_cell_angle_gamma 90.00
_space_group_name_H-M_alt 'C 1 2/m 1'
_space_group_IT_number 12
_space_group_name_Hall '-C 2y'
loop_
_atom_site_label
_atom_site_type_symbol
_atom_site_fract_x
_atom_site_fract_y
_atom_site_fract_z
_atom_site_occupancy
Tb1 Tb 0.0000 0.0000 0.0000 1
Tb2 Tb 0.0000 0.3345 0.0000 1
Pu1 Pu 0.0000 0.5000 0.5000 1
Pa1 Pa 0.0000 0.1668 0.5000 1
N1 N 0.2362 0.0000 0.7396 1
N2 N 0.2488 0.1719 0.2618 1
```

- formation energy (no corrections) (eV per formula unit) = -19.20